# MnMoAsO6, optimized geometry, DFT GGA+U
# final energy	-6.908	eV per atom
data_MnMoAsO6
_symmetry_space_group_name_H-M 'P 1'
_symmetry_Int_Tables_number 1
_cell_length_a 5.1139
_cell_length_b 5.1139
_cell_length_c 9.3389
_cell_angle_alpha 90.00
_cell_angle_beta 90.00
_cell_angle_gamma 120.00
loop_
_symmetry_equiv_pos_as_xyz
'x,y,z'
loop_
_atom_site_label
_atom_site_fract_x
_atom_site_fract_y
_atom_site_fract_z
_atom_site_occupancy
Mn1 0.0000 0.0000 0.0000 1
Mn2 0.0000 0.0000 0.5000 1
Mo1 0.3333 0.6667 0.2500 1
Mo2 0.6667 0.3333 0.7500 1
As1 0.3333 0.6667 0.7500 1
As2 0.6667 0.3333 0.2500 1
O1 0.0199 0.3768 0.6379 1
O2 0.0199 0.6431 0.8621 1
O3 0.3569 0.3768 0.8621 1
O4 0.3569 0.9801 0.6379 1
O5 0.3768 0.0199 0.1379 1
O6 0.3768 0.3569 0.3621 1
O7 0.6232 0.6431 0.6379 1
O8 0.6232 0.9801 0.8621 1
O9 0.6431 0.0199 0.3621 1
O10 0.6431 0.6232 0.1379 1
O11 0.9801 0.3569 0.1379 1
O12 0.9801 0.6232 0.3621 1